(1)
DFT (PBE) results for an optimized crystal structure of AgAs2AuBr.

POSCAR file:
```
AgAs2AuBr
1.0
5.043 0.000 0.000
0.000 5.043 0.000
0.000 0.000 5.520
As Au Br Ag
2 1 1 1
Cartesian
0.000 2.522 0.000 As
2.522 0.000 0.000 As
0.000 0.000 0.000 Au
0.000 0.000 2.760 Br
2.522 2.522 2.760 Ag
```

Output
- Space group: P4/mmm (123)
- Raw formation energy: 747 meV per atom

(2)
DFT (PBE) results for an optimized crystal structure of NaCrSn2Cl8.

POSCAR file:
```
NaCrSn2Cl8
1.0
6.580 0.102 -0.009
0.148 6.303 -0.005
-0.001 0.012 7.961
Na Cr Sn Cl
1 1 2 8
Cartesian
0.000 0.006 3.980 Na
0.000 0.000 0.000 Cr
3.369 3.215 6.060 Sn
3.358 3.203 1.886 Sn
1.077 4.944 1.722 Cl
4.782 5.071 7.945 Cl
5.646 1.463 1.714 Cl
5.650 1.474 6.224 Cl
1.945 1.346 0.001 Cl
1.081 4.954 6.233 Cl
4.429 4.588 3.972 Cl
2.298 1.829 3.974 Cl
```

Output
- Space group: P-1 (2)
- Raw formation energy: -1137 meV per atom

(3)
DFT (PBE) results for an optimized crystal structure of MgCu2Ir.

POSCAR file:
```
MgCu2Ir
1.0
-1.737 -1.924 0.773
1.527 -2.410 -2.568
3.526 -1.698 3.691
Cu Ir Mg
2 1 1
Cartesian
0.044 -0.021 0.046 Cu
0.757 -2.582 0.005 Cu
1.744 -0.840 1.826 Ir
2.535 -3.439 1.866 Mg
```

Output
- Space group: Pmm2 (25)
- Formation enthalpy at 0 K: -0.038 eV/atom